Pr4Sm2Er: relaxed, GGA-PBE.

Geometry as POSCAR:
```
Pr4Sm2Er
1.0
0.000 12.277 3.272
6.088 0.000 3.272
6.088 12.277 0.000
Pr Sm Er
8 4 2
Direct
0.019 0.981 0.121
0.129 0.371 0.231
0.371 0.129 0.269
0.451 0.608 0.261
0.570 0.989 0.642
0.608 0.451 0.680
0.981 0.019 0.879
0.989 0.570 0.799
0.063 0.539 0.008
0.242 0.860 0.187
0.539 0.063 0.390
0.860 0.242 0.711
0.497 0.497 0.503
0.747 0.747 0.753
```

Space group: Fdd2 (43)
Relative energy among the computed polymorphs: 0.000 eV/atom
E_form: 0.0613 eV per atom
Magnetization: 0.00 Bohr magnetons per cell